A plane-wave DFT calculation with PBE was carried out for a relaxed structure of ZnGaMo.

Output
total energy = -14.45 eV per cell
calculated formation energy = 0.2280 eV/atom
size of the total moment = 0.869 μB per cell

a b c (Å): 5.3289 5.3289 5.3289
angles (deg): 146.47 146.47 48.15
With the nearest neighbours (Å) after each atom.
Fractional coordinates of all 3 atoms:
Zn 0.0000 0.0000 0.0000  4 Ga 2.68, 4 Mo 2.73
Ga 0.6613 0.6613 0.0000  4 Zn 2.68, 4 Mo 2.73
Mo 0.3309 0.3309 0.0000  4 Zn 2.73, 4 Ga 2.73


A plane-wave DFT calculation with PBE was carried out for a relaxed structure of LiPaTlF6.

Output
total energy = -107.19 eV per cell
E_form (uncorrected) = -3.1766 eV per atom
size of the total moment = 2.000 μB per cell

a b c (Å): 5.7736 5.7736 12.0821
angles (deg): 90.00 90.00 120.00
With the nearest neighbours (Å) after each atom.
Fractional coordinates of all 18 atoms:
Li 0.3333 0.6667 0.2500  6 F 2.12
Li 0.6667 0.3333 0.7500  6 F 2.12
Pa 0.3333 0.6667 0.7500  6 F 2.21
Pa 0.6667 0.3333 0.2500  6 F 2.21
Tl 0.0000 0.0000 0.0000  6 F 2.84
Tl 0.0000 0.0000 0.5000  6 F 2.84
F 0.0119 0.3786 0.1533  1 Li 2.12, 1 Pa 2.21
F 0.0119 0.6333 0.3467  1 Li 2.12, 1 Pa 2.21
F 0.3667 0.3786 0.3467  1 Li 2.12, 1 Pa 2.21
F 0.3667 0.9881 0.1533  1 Li 2.12, 1 Pa 2.21
F 0.3786 0.0119 0.6533  1 Li 2.12, 1 Pa 2.21
F 0.3786 0.3667 0.8467  1 Li 2.12, 1 Pa 2.21
F 0.6214 0.6333 0.1533  1 Li 2.12, 1 Pa 2.21
F 0.6214 0.9881 0.3467  1 Li 2.12, 1 Pa 2.21
F 0.6333 0.0119 0.8467  1 Li 2.12, 1 Pa 2.21
F 0.6333 0.6214 0.6533  1 Li 2.12, 1 Pa 2.21
F 0.9881 0.3667 0.6533  1 Li 2.12, 1 Pa 2.21
F 0.9881 0.6214 0.8467  1 Li 2.12, 1 Pa 2.21


A plane-wave DFT calculation with PBE was carried out for a relaxed structure of LiPaHgPd.

Output
total energy = -17.47 eV per cell
calculated formation energy = -0.1409 eV/atom
size of the total moment = 0.343 μB per cell

a b c (Å): 4.9095 4.9095 4.9095
angles (deg): 60.00 60.00 60.00
With the nearest neighbours (Å) after each atom.
Fractional coordinates of all 4 atoms:
Li 0.0000 0.0000 0.0000  4 Hg 3.01, 4 Pd 3.01
Pa 0.5000 0.5000 0.5000  4 Pd 3.01, 4 Hg 3.01
Hg 0.2500 0.2500 0.2500  4 Pa 3.01, 4 Li 3.01
Pd 0.7500 0.7500 0.7500  4 Li 3.01, 4 Pa 3.01


A plane-wave DFT calculation with PBE was carried out for a relaxed structure of Na2AgGe3Au12.

Output
total energy = -58.75 eV per cell
calculated formation energy = -0.0047 eV/atom
size of the total moment = 0.000 μB per cell

a b c (Å): 7.1355 7.1355 7.1355
angles (deg): 84.59 84.59 84.59
With the nearest neighbours (Å) after each atom.
Fractional coordinates of all 18 atoms:
Na 0.1211 0.1211 0.1211  3 Au 2.78
Na 0.8789 0.8789 0.8789  3 Au 2.78
Ag 0.5000 0.5000 0.5000  6 Au 2.80
Ge 0.0000 0.5000 0.5000  6 Au 2.61-2.79
Ge 0.5000 0.0000 0.5000  6 Au 2.61-2.79
Ge 0.5000 0.5000 0.0000  6 Au 2.61-2.79
Au 0.1188 0.1188 0.5701  4 Au 2.76-3.09, 2 Ge 2.79
Au 0.1188 0.5701 0.1188  4 Au 2.76-3.09, 2 Ge 2.79
Au 0.1932 0.6940 0.6940  1 Ge 2.61, 3 Au 2.76-2.87, 1 Na 2.78, 1 Ag 2.80
Au 0.3060 0.3060 0.8068  1 Ge 2.61, 3 Au 2.76-2.87, 1 Na 2.78, 1 Ag 2.80
Au 0.3060 0.8068 0.3060  1 Ge 2.61, 3 Au 2.76-2.87, 1 Na 2.78, 1 Ag 2.80
Au 0.4299 0.8812 0.8812  4 Au 2.76-3.09, 2 Ge 2.79
Au 0.5701 0.1188 0.1188  4 Au 2.76-3.09, 2 Ge 2.79
Au 0.6940 0.1932 0.6940  1 Ge 2.61, 3 Au 2.76-2.87, 1 Na 2.78, 1 Ag 2.80
Au 0.6940 0.6940 0.1932  1 Ge 2.61, 3 Au 2.76-2.87, 1 Na 2.78, 1 Ag 2.80
Au 0.8068 0.3060 0.3060  1 Ge 2.61, 3 Au 2.76-2.87, 1 Na 2.78, 1 Ag 2.80
Au 0.8812 0.4299 0.8812  4 Au 2.76-3.09, 2 Ge 2.79
Au 0.8812 0.8812 0.4299  4 Au 2.76-3.09, 2 Ge 2.79


A plane-wave DFT calculation with PBE was carried out for a relaxed structure of Ti6NbPt5.

Output
total energy = -97.01 eV per cell
calculated formation energy = -0.7808 eV/atom
size of the total moment = 0.000 μB per cell

a b c (Å): 4.6106 6.1942 6.9506
angles (deg): 90.00 104.68 90.00
With the nearest neighbours (Å) after each atom.
Fractional coordinates of all 12 atoms:
Ti 0.0000 0.2481 0.0000  6 Pt 2.66-2.77, 2 Nb 2.78
Ti 0.0000 0.7519 0.0000  6 Pt 2.66-2.77, 2 Nb 2.78
Ti 0.3679 0.2531 0.6618  7 Pt 2.73-2.85, 1 Nb 2.74, 1 Ti 2.82
Ti 0.3679 0.7469 0.6618  7 Pt 2.73-2.85, 1 Nb 2.74, 1 Ti 2.82
Ti 0.6321 0.2531 0.3382  7 Pt 2.73-2.85, 1 Nb 2.74, 1 Ti 2.82
Ti 0.6321 0.7469 0.3382  7 Pt 2.73-2.85, 1 Nb 2.74, 1 Ti 2.82
Nb 0.5000 0.5000 0.0000  8 Ti 2.74-2.78
Pt 0.1096 0.0000 0.3220  8 Ti 2.66-2.85, 1 Pt 2.90
Pt 0.1175 0.5000 0.3224  8 Ti 2.67-2.80, 1 Pt 2.94
Pt 0.5000 0.0000 0.0000  8 Ti 2.76-2.77
Pt 0.8825 0.5000 0.6776  8 Ti 2.67-2.80, 1 Pt 2.94
Pt 0.8904 0.0000 0.6780  8 Ti 2.66-2.85, 1 Pt 2.90


A plane-wave DFT calculation with PBE was carried out for a relaxed structure of CdCuRe2.

Output
total energy = -27.40 eV per cell
calculated formation energy = 0.6280 eV/atom
size of the total moment = 0.001 μB per cell

a b c (Å): 5.2267 5.2267 5.2267
angles (deg): 138.34 138.34 60.39
With the nearest neighbours (Å) after each atom.
Fractional coordinates of all 4 atoms:
Cd 0.0000 0.0000 0.0000  4 Cu 2.63, 8 Re 2.93
Cu 0.5000 0.5000 0.0000  4 Cd 2.63, 8 Re 2.93
Re 0.2500 0.7500 0.5000  4 Re 2.63, 4 Cd 2.93, 4 Cu 2.93
Re 0.7500 0.2500 0.5000  4 Re 2.63, 4 Cd 2.93, 4 Cu 2.93